1.
# MnW | Alexandria via LeMat-Bulk | PBE | relaxed
data_MnW
_chemical_formula_sum 'Mn4 W4'
_symmetry_space_group_name_H-M 'P 1'
_symmetry_Int_Tables_number 1
_cell_length_a 5.6555
_cell_length_b 5.6555
_cell_length_c 5.6555
_cell_angle_alpha 97.32
_cell_angle_beta 97.32
_cell_angle_gamma 138.18
loop_
_symmetry_equiv_pos_as_xyz
'x,y,z'
loop_
_atom_site_label
_atom_site_type_symbol
_atom_site_fract_x
_atom_site_fract_y
_atom_site_fract_z
_atom_site_occupancy
Mn1 Mn 0.1496 0.8365 0.9861 1
Mn2 Mn 0.1635 0.1496 0.3131 1
Mn3 Mn 0.8365 0.8504 0.6869 1
Mn4 Mn 0.8504 0.1635 0.0139 1
W1 W 0.2024 0.4969 0.6993 1
W2 W 0.4969 0.7976 0.2945 1
W3 W 0.5031 0.2024 0.7055 1
W4 W 0.7976 0.5031 0.3007 1
# **Calculated volume**: 112.7 Å³/cell
# **DFT formation energy**: 0.393 eV/atom
# **Symmetry**: I4/m

2.
# RbNaSbI2 | Alexandria via LeMat-Bulk | PBE | relaxed
data_RbNaSbI2
_chemical_formula_sum 'Rb1 Na1 Sb1 I2'
_symmetry_space_group_name_H-M 'P 1'
_symmetry_Int_Tables_number 1
_cell_length_a 6.9286
_cell_length_b 6.9286
_cell_length_c 6.8389
_cell_angle_alpha 90.00
_cell_angle_beta 90.00
_cell_angle_gamma 90.00
loop_
_symmetry_equiv_pos_as_xyz
'x,y,z'
loop_
_atom_site_label
_atom_site_type_symbol
_atom_site_fract_x
_atom_site_fract_y
_atom_site_fract_z
_atom_site_occupancy
Rb1 Rb 0.0000 0.0000 0.0000 1
Na1 Na 0.5000 0.5000 0.5000 1
Sb1 Sb 0.0000 0.0000 0.5000 1
I1 I 0.0000 0.5000 0.0000 1
I2 I 0.5000 0.0000 0.0000 1
# **Energy relative to the lowest polymorph listed for this composition**: 7.38 kcal/mol of atoms
# **Formation energy without anion corrections**: -0.128 eV per atom
# **Calculated volume**: 328.3 Å³/cell
# **Symmetry**: P4/mmm